# SrPSe (PBE-GGA, optimized geometry)
# E_tot	-4.304	eV/atom
# spin magnetization	0.00	Bohr magnetons per cell
# D(E_F)	2.42	states/eV/f.u.
# ΔE_f (raw)	-225	kJ/mol of formula units
data_SrPSe
_chemical_formula_sum 'Sr1 P1 Se1'
_cell_length_a 5.886
_cell_length_b 5.886
_cell_length_c 5.886
_cell_angle_alpha 138.52
_cell_angle_beta 138.52
_cell_angle_gamma 60.11
_symmetry_space_group_name_H-M 'P 1'
_symmetry_Int_Tables_number 1
loop_
_symmetry_equiv_pos_as_xyz
'x,y,z'
loop_
_atom_site_label
_atom_site_type_symbol
_atom_site_fract_x
_atom_site_fract_y
_atom_site_fract_z
Sr1 Sr 0.000 0.000 0.000
P1 P 0.602 0.602 0.000
Se1 Se 0.377 0.377 0.000

=====

# Be2RuRh (PBE-GGA, optimized geometry)
# E_tot	-6.189	eV/atom
# spin magnetization	0.00	Bohr magnetons per cell
# D(E_F)	3.35	states/eV/f.u.
data_Be2RuRh
_chemical_formula_sum 'Be2 Ru1 Rh1'
_cell_length_a 2.645
_cell_length_b 2.645
_cell_length_c 7.149
_cell_angle_alpha 90.00
_cell_angle_beta 90.00
_cell_angle_gamma 113.39
_symmetry_space_group_name_H-M 'P 1'
_symmetry_Int_Tables_number 1
loop_
_symmetry_equiv_pos_as_xyz
'x,y,z'
loop_
_atom_site_label
_atom_site_type_symbol
_atom_site_fract_x
_atom_site_fract_y
_atom_site_fract_z
Be1 Be 0.000 0.000 0.248
Be2 Be 0.000 0.000 0.752
Ru1 Ru 0.500 0.500 0.500
Rh1 Rh 0.500 0.500 0.000

=====

# BeTeSe3 (PBE-GGA, optimized geometry)
# E_tot	-2.459	eV/atom
# E above lowest polymorph	772.9	meV per atom
# spin magnetization	0.00	Bohr magnetons per cell
# D(E_F)	4.83	states/eV/f.u.
# ΔE_f (raw)	485	kJ/mol of formula units
data_BeTeSe3
_chemical_formula_sum 'Be1 Te1 Se3'
_cell_length_a 5.321
_cell_length_b 5.321
_cell_length_c 5.321
_cell_angle_alpha 90.00
_cell_angle_beta 90.00
_cell_angle_gamma 90.00
_symmetry_space_group_name_H-M 'P 1'
_symmetry_Int_Tables_number 1
loop_
_symmetry_equiv_pos_as_xyz
'x,y,z'
loop_
_atom_site_label
_atom_site_type_symbol
_atom_site_fract_x
_atom_site_fract_y
_atom_site_fract_z
Be1 Be 0.000 0.000 0.000
Te1 Te 0.500 0.500 0.500
Se1 Se 0.000 0.500 0.500
Se2 Se 0.500 0.000 0.500
Se3 Se 0.500 0.500 0.000

=====

# Mg11Zn9Pt4 (PBE-GGA, optimized geometry)
# E_tot	-2.575	eV/atom
# spin magnetization	0.00	Bohr magnetons per cell
# D(E_F)	7.81	states/eV/f.u.
data_Mg11Zn9Pt4
_chemical_formula_sum 'Mg11 Zn9 Pt4'
_cell_length_a 11.232
_cell_length_b 11.232
_cell_length_c 3.696
_cell_angle_alpha 90.00
_cell_angle_beta 90.00
_cell_angle_gamma 111.87
_symmetry_space_group_name_H-M 'P 1'
_symmetry_Int_Tables_number 1
loop_
_symmetry_equiv_pos_as_xyz
'x,y,z'
loop_
_atom_site_label
_atom_site_type_symbol
_atom_site_fract_x
_atom_site_fract_y
_atom_site_fract_z
Mg1 Mg 0.000 0.000 0.000
Mg2 Mg 0.073 0.413 0.000
Mg3 Mg 0.168 0.832 0.000
Mg4 Mg 0.291 0.291 0.000
Mg5 Mg 0.365 0.635 0.000
Mg6 Mg 0.413 0.073 0.000
Mg7 Mg 0.587 0.927 0.000
Mg8 Mg 0.635 0.365 0.000
Mg9 Mg 0.709 0.709 0.000
Mg10 Mg 0.832 0.168 0.000
Mg11 Mg 0.927 0.587 0.000
Zn1 Zn 0.063 0.214 0.500
Zn2 Zn 0.148 0.628 0.500
Zn3 Zn 0.214 0.063 0.500
Zn4 Zn 0.372 0.852 0.500
Zn5 Zn 0.500 0.500 0.500
Zn6 Zn 0.628 0.148 0.500
Zn7 Zn 0.786 0.937 0.500
Zn8 Zn 0.852 0.372 0.500
Zn9 Zn 0.937 0.786 0.500
Pt1 Pt 0.255 0.449 0.500
Pt2 Pt 0.449 0.255 0.500
Pt3 Pt 0.551 0.745 0.500
Pt4 Pt 0.745 0.551 0.500

=====

# RbB3N (PBE-GGA, optimized geometry)
# E_tot	-1.356	eV/atom
# E above lowest polymorph	1827.0	meV per atom
# spin magnetization	0.00	Bohr magnetons per cell
# D(E_F)	5.26	states/eV/f.u.
# ΔE_f (raw)	2175	kJ/mol of formula units
data_RbB3N
_chemical_formula_sum 'Rb1 B3 N1'
_cell_length_a 5.077
_cell_length_b 5.077
_cell_length_c 5.077
_cell_angle_alpha 90.00
_cell_angle_beta 90.00
_cell_angle_gamma 90.00
_symmetry_space_group_name_H-M 'P 1'
_symmetry_Int_Tables_number 1
loop_
_symmetry_equiv_pos_as_xyz
'x,y,z'
loop_
_atom_site_label
_atom_site_type_symbol
_atom_site_fract_x
_atom_site_fract_y
_atom_site_fract_z
Rb1 Rb 0.000 0.000 0.000
B1 B 0.000 0.000 0.500
B2 B 0.000 0.500 0.000
B3 B 0.500 0.000 0.000
N1 N 0.500 0.500 0.500

=====

# La5Th (PBE-GGA, optimized geometry)
# E_tot	-5.325	eV/atom
# E above lowest polymorph	6.6	meV per atom
# spin magnetization	0.00	Bohr magnetons per cell
# D(E_F)	11.66	states/eV/f.u.
data_La5Th
_chemical_formula_sum 'La5 Th1'
_cell_length_a 3.678
_cell_length_b 3.678
_cell_length_c 18.298
_cell_angle_alpha 90.00
_cell_angle_beta 90.00
_cell_angle_gamma 120.00
_symmetry_space_group_name_H-M 'P 1'
_symmetry_Int_Tables_number 1
loop_
_symmetry_equiv_pos_as_xyz
'x,y,z'
loop_
_atom_site_label
_atom_site_type_symbol
_atom_site_fract_x
_atom_site_fract_y
_atom_site_fract_z
La1 La 0.000 0.000 0.000
La2 La 0.333 0.667 0.166
La3 La 0.333 0.667 0.658
La4 La 0.667 0.333 0.342
La5 La 0.667 0.333 0.834
Th1 Th 0.000 0.000 0.500

=====

# Li2ZnTc (PBE-GGA, optimized geometry)
# E_tot	-3.643	eV/atom
# spin magnetization	0.47	Bohr magnetons per cell
# D(E_F)	2.83	states/eV/f.u.
data_Li2ZnTc
_chemical_formula_sum 'Li2 Zn1 Tc1'
_cell_length_a 3.687
_cell_length_b 3.687
_cell_length_c 4.064
_cell_angle_alpha 90.00
_cell_angle_beta 90.00
_cell_angle_gamma 90.00
_symmetry_space_group_name_H-M 'P 1'
_symmetry_Int_Tables_number 1
loop_
_symmetry_equiv_pos_as_xyz
'x,y,z'
loop_
_atom_site_label
_atom_site_type_symbol
_atom_site_fract_x
_atom_site_fract_y
_atom_site_fract_z
Li1 Li 0.000 0.500 0.000
Li2 Li 0.500 0.000 0.000
Zn1 Zn 0.000 0.000 0.500
Tc1 Tc 0.500 0.500 0.500

=====

# TmAlZn3Au (PBE-GGA, optimized geometry)
# E_tot	-2.727	eV/atom
# spin magnetization	0.00	Bohr magnetons per cell
# D(E_F)	1.44	states/eV/f.u.
data_TmAlZn3Au
_chemical_formula_sum 'Tm2 Al2 Zn6 Au2'
_cell_length_a 7.099
_cell_length_b 7.099
_cell_length_c 5.756
_cell_angle_alpha 90.00
_cell_angle_beta 90.00
_cell_angle_gamma 128.59
_symmetry_space_group_name_H-M 'P 1'
_symmetry_Int_Tables_number 1
loop_
_symmetry_equiv_pos_as_xyz
'x,y,z'
loop_
_atom_site_label
_atom_site_type_symbol
_atom_site_fract_x
_atom_site_fract_y
_atom_site_fract_z
Tm1 Tm 0.198 0.802 0.750
Tm2 Tm 0.802 0.198 0.250
Al1 Al 0.421 0.579 0.750
Al2 Al 0.579 0.421 0.250
Zn1 Zn 0.198 0.198 0.000
Zn2 Zn 0.198 0.198 0.500
Zn3 Zn 0.371 0.629 0.250
Zn4 Zn 0.629 0.371 0.750
Zn5 Zn 0.802 0.802 0.000
Zn6 Zn 0.802 0.802 0.500
Au1 Au 0.164 0.836 0.250
Au2 Au 0.836 0.164 0.750

=====

- What is the D(E_F) in the third record?
  4.83 states/eV/f.u.

=====

- What is the formula in the first record?
  SrPSe

=====

Repeat the fifth record exactly.
# RbB3N (PBE-GGA, optimized geometry)
# E_tot	-1.356	eV/atom
# E above lowest polymorph	1827.0	meV per atom
# spin magnetization	0.00	Bohr magnetons per cell
# D(E_F)	5.26	states/eV/f.u.
# ΔE_f (raw)	2175	kJ/mol of formula units
data_RbB3N
_chemical_formula_sum 'Rb1 B3 N1'
_cell_length_a 5.077
_cell_length_b 5.077
_cell_length_c 5.077
_cell_angle_alpha 90.00
_cell_angle_beta 90.00
_cell_angle_gamma 90.00
_symmetry_space_group_name_H-M 'P 1'
_symmetry_Int_Tables_number 1
loop_
_symmetry_equiv_pos_as_xyz
'x,y,z'
loop_
_atom_site_label
_atom_site_type_symbol
_atom_site_fract_x
_atom_site_fract_y
_atom_site_fract_z
Rb1 Rb 0.000 0.000 0.000
B1 B 0.000 0.000 0.500
B2 B 0.000 0.500 0.000
B3 B 0.500 0.000 0.000
N1 N 0.500 0.500 0.500